Ba6HgSb2I3 (PBE-GGA, optimized geometry); raw formation energy = -1.205 eV/atom; DOS(E_F) = 0.38 states/eV per atom
1.0
5.0126 0.0000 0.0000
0.0000 10.3498 0.3176
-2.5063 -3.0392 10.7465
Sb Ba I Hg
2 6 3 1
Direct
0.1659 0.3328 0.3318
0.8341 0.6672 0.6682
0.0075 0.2385 0.0150
0.3254 0.4353 0.6507
0.9925 0.7615 0.9850
0.6607 0.1027 0.3215
0.6746 0.5647 0.3493
0.3393 0.8973 0.6785
0.8322 0.1678 0.6645
0.1678 0.8322 0.3355
0.5000 0.5000 0.0000
0.5000 0.0000 0.0000



Tb3Co2Si3 (PBE-GGA, optimized geometry); raw formation energy = -0.730 eV/atom; DOS(E_F) = 0.68 states/eV per atom
1.0
-2.3172 4.8767 -1.5971
-0.4366 -3.5576 4.3422
9.8402 6.8329 6.5876
Si Co Tb
6 4 6
Direct
0.6219 0.3781 0.0401
0.6219 0.3781 0.4599
0.3781 0.6219 0.9599
0.3304 0.6696 0.2500
0.6696 0.3304 0.7500
0.3781 0.6219 0.5401
0.2145 0.7855 0.4199
0.7855 0.2145 0.5801
0.2145 0.7855 0.0801
0.7855 0.2145 0.9199
0.3620 0.6380 0.7500
0.0807 0.9193 0.6118
0.6380 0.3620 0.2500
0.0807 0.9193 0.8882
0.9193 0.0807 0.1118
0.9193 0.0807 0.3882



CrMoSe2 (PBE-GGA, optimized geometry); raw formation energy = -0.112 eV/atom; relative energy among the computed polymorphs = 0.1789 eV/atom; DOS(E_F) = 0.43 states/eV per atom
1.0
9.7711 0.0787 0.0463
9.2549 3.1346 0.0463
9.2549 1.5631 2.7175
Mo Cr Se
1 1 2
Direct
0.7558 0.7558 0.7558
0.4970 0.4970 0.4970
0.0280 0.0280 0.0280
0.2193 0.2193 0.2193



YSiIr2 (PBE-GGA, optimized geometry); raw formation energy = -0.047 eV/atom; DOS(E_F) = 1.54 states/eV per atom
1.0
4.6032 0.0000 0.0000
2.3016 3.9865 0.0000
2.3016 1.3288 3.7585
Y Si Ir
1 1 2
Direct
0.7500 0.7500 0.7500
0.5000 0.5000 0.5000
0.0000 0.0000 0.0000
0.2500 0.2500 0.2500



BaLi2VCl8 (PBE-GGA, optimized geometry); raw formation energy = -1.614 eV/atom; DOS(E_F) = 0.59 states/eV per atom
1.0
-0.9850 5.8395 -1.8398
-0.8945 -4.6902 -3.9569
-8.3011 -0.5890 2.5746
Cl Ba V Li
8 1 1 2
Direct
0.6831 0.9651 0.3419
0.6667 0.3333 0.0201
0.3169 0.0349 0.6581
0.2820 0.3169 0.3419
0.9651 0.2820 0.6581
0.0349 0.7180 0.3419
0.3333 0.6667 0.9799
0.7180 0.6831 0.6581
0.0000 0.0000 0.0000
0.0000 0.0000 0.5000
0.3333 0.6667 0.7197
0.6667 0.3333 0.2803



Y2AlFe2 (PBE-GGA, optimized geometry); formation energy = 0.2 eV/f.u.; DOS(E_F) = 0.90 states/eV per atom
1.0
-1.6903 1.6903 9.1016
1.6903 -1.6903 9.1016
1.6903 1.6903 -9.1016
Y Al Fe
2 1 2
Direct
0.6177 0.6177 0.0000
0.3823 0.3823 0.0000
0.0000 0.0000 0.0000
0.2500 0.7500 0.5000
0.7500 0.2500 0.5000



HoErGeAu (PBE-GGA, optimized geometry); formation energy = -3.5 eV/f.u.; relative energy among the computed polymorphs = 0.0000 eV/atom; DOS(E_F) = 0.54 states/eV per atom
1.0
-2.2322 -2.8663 -1.7363
3.5440 -1.7617 -1.6480
1.6396 -1.6585 5.2989
Er Au Ge Ho
1 1 1 1
Direct
0.1388 0.0000 0.2776
0.4147 0.0000 0.8293
0.5864 0.5000 0.1728
0.8601 0.5000 0.7202



Zr2HgBr (PBE-GGA, optimized geometry); raw formation energy = 0.119 eV/atom; relative energy among the computed polymorphs = 0.5083 eV/atom; DOS(E_F) = 1.45 states/eV per atom
1.0
5.9205 0.0158 0.0000
2.9278 5.1460 0.0000
-4.4242 -2.5809 2.9696
Zr Hg Br
2 1 1
Direct
0.0000 0.0000 0.0000
0.2500 0.7500 0.5000
0.7500 0.2500 0.5000
0.5000 0.5000 0.0000



Y2SbPt2 (PBE-GGA, optimized geometry); raw formation energy = -0.879 eV/atom; relative energy among the computed polymorphs = 0.2524 eV/atom; DOS(E_F) = 0.45 states/eV per atom
1.0
-0.3703 7.2591 -3.7907
-7.8844 0.7097 2.1293
0.9536 1.6120 2.9938
Sb Pt Y
2 4 4
Direct
0.5000 0.5000 0.0000
0.0000 0.0000 0.0000
0.6260 0.8740 0.5000
0.1260 0.6260 0.5000
0.8740 0.3740 0.5000
0.3740 0.1260 0.5000
0.6610 0.1610 0.0000
0.1610 0.3390 0.0000
0.3390 0.8390 0.0000
0.8390 0.6610 0.0000



ThGaI (PBE-GGA, optimized geometry); raw formation energy = -0.882 eV/atom; DOS(E_F) = 0.48 states/eV per atom
1.0
4.2386 -0.0191 -0.0243
-2.1037 3.6797 0.0243
-2.0169 -1.2765 12.5776
I Th Ga
2 2 2
Direct
0.5554 0.2805 0.8359
0.4446 0.7195 0.1641
0.1076 0.5551 0.6627
0.8924 0.4449 0.3373
0.6684 0.8343 0.5027
0.3316 0.1657 0.4973



PuUGeIr (PBE-GGA, optimized geometry); formation energy = -0.1 eV/f.u.; relative energy among the computed polymorphs = 0.2857 eV/atom; DOS(E_F) = 1.64 states/eV per atom
1.0
4.9510 0.0000 0.0000
0.0000 4.7363 0.0000
0.0000 2.3681 4.1017
Pu Ge Ir U
1 1 1 1
Direct
0.2158 0.6667 0.6667
0.9427 0.3333 0.3333
0.4651 0.3333 0.3333
0.2695 0.0000 0.0000



RbSr2CaS (PBE-GGA, optimized geometry); raw formation energy = 0.992 eV/atom; DOS(E_F) = 1.40 states/eV per atom
1.0
-1.5097 0.1621 -6.4094
5.8562 -0.7635 -1.3987
-0.8437 -6.5324 0.0335
S Rb Sr Ca
1 1 2 1
Direct
0.5000 0.5000 0.5000
0.0000 0.0000 0.0000
0.0000 0.0000 0.5000
0.5000 0.0000 0.0000
0.0000 0.5000 0.0000